Record 1
Compound: BaLa3Ge
Source: Alexandria
Functional: PBE-GGA
Structure: relaxed

POSCAR file:
```
BaLa3Ge
1.0
5.9791 0.0000 0.0000
0.0000 5.9791 0.0000
0.0000 0.0000 5.9791
Ba La Ge
1 3 1
Direct
0.0000 0.0000 0.0000
0.0000 0.5000 0.5000
0.5000 0.0000 0.5000
0.5000 0.5000 0.0000
0.5000 0.5000 0.5000
```

## Properties
The value obtained for the relative energy among the computed polymorphs is 0 meV/atom. As for the formation energy: -135 meV/atom. The calculation puts the volume at 42.75 Å³ per atom.


Record 2
Compound: KVTe2
Source: Alexandria
Functional: PBE-GGA
Structure: relaxed

POSCAR file:
```
KVTe2
1.0
4.1234 0.0000 0.0000
-2.0617 3.5710 0.0000
0.0000 0.0000 24.4175
K V Te
3 3 6
Direct
0.0000 0.0000 0.0000
0.3333 0.6667 0.6667
0.6667 0.3333 0.3333
0.0000 0.0000 0.8324
0.3333 0.6667 0.4990
0.6667 0.3333 0.1657
0.0000 0.0000 0.2271
0.0000 0.0000 0.4382
0.3333 0.6667 0.1049
0.3333 0.6667 0.8938
0.6667 0.3333 0.5605
0.6667 0.3333 0.7716
```

## Properties
The calculation puts the uncorrected formation energy at -0.57 eV per atom. The calculation puts the volume at 29.96 Å³ per atom.


Record 3
Compound: Sr2W
Source: Alexandria
Functional: PBE-GGA
Structure: relaxed

POSCAR file:
```
Sr2W
1.0
3.2152 0.0000 0.0000
0.0000 3.2152 0.0000
0.0000 0.0000 34.6475
Sr W
8 4
Direct
0.0000 0.2500 0.3054
0.0000 0.2500 0.4446
0.0000 0.7500 0.5554
0.0000 0.7500 0.6946
0.5000 0.2500 0.0554
0.5000 0.2500 0.1946
0.5000 0.7500 0.8054
0.5000 0.7500 0.9446
0.0000 0.2500 0.8750
0.0000 0.7500 0.1250
0.5000 0.2500 0.6250
0.5000 0.7500 0.3750
```

## Properties
The value obtained for the relative energy among the computed polymorphs is 562 meV/atom. As for the formation energy: 1181 meV/atom. The calculation puts the volume at 29.85 Å³ per atom.


Record 4
Compound: PmBiPt2
Source: Alexandria
Functional: PBE-GGA
Structure: relaxed

POSCAR file:
```
PmBiPt2
1.0
4.8294 0.0000 0.0000
0.0000 4.8294 0.0000
0.0000 0.0000 3.7928
Pm Bi Pt
1 1 2
Direct
0.0000 0.0000 0.0000
0.5000 0.5000 0.0000
0.0000 0.5000 0.5000
0.5000 0.0000 0.5000
```

## Properties
As for the formation energy: -679 meV/atom. The calculation puts the volume at 22.11 Å³ per atom.


Record 5
Compound: KBa2Pb2
Source: Alexandria
Functional: PBE-GGA
Structure: relaxed

POSCAR file:
```
KBa2Pb2
1.0
9.5633 0.0000 0.0000
0.0000 9.5633 0.0000
0.0000 0.0000 4.8558
K Ba Pb
2 4 4
Direct
0.0000 0.0000 0.0000
0.5000 0.5000 0.0000
0.1707 0.3293 0.5000
0.3293 0.8293 0.5000
0.6707 0.1707 0.5000
0.8293 0.6707 0.5000
0.1185 0.6185 0.0000
0.3815 0.1185 0.0000
0.6185 0.8815 0.0000
0.8815 0.3815 0.0000
```

## Properties
The value obtained for the relative energy among the computed polymorphs is 0 meV/atom. As for the formation energy: -400 meV/atom. The calculation puts the volume at 44.41 Å³ per atom.


Record 6
Compound: CdGeMo2Ru
Source: Alexandria
Functional: PBE-GGA
Structure: relaxed

POSCAR file:
```
CdGeMo2Ru
1.0
4.6663 0.0000 0.0000
0.0000 4.6663 0.0000
0.0000 0.0000 4.7427
Cd Ge Mo Ru
1 1 2 1
Direct
0.0000 0.0000 0.0000
0.0000 0.0000 0.5000
0.0000 0.5000 0.5000
0.5000 0.0000 0.5000
0.5000 0.5000 0.0000
```

## Properties
The value obtained for the relative energy among the computed polymorphs is 0 meV/atom. As for the formation energy: 1611 meV/atom. The calculation puts the volume at 20.65 Å³ per atom.